No. 1
Density functional theory data (GGA-PBE) for crystalline Hf4ZrBi at its relaxed geometry.

Output
formation energy from the elements: 530 meV per atom
total magnetization: 0.00 μB per formula unit
space-group type: P4/mmm
volume: 160.3 Å³ per cell

Cell lengths 4.8229, 4.8229, 6.8917 Å; angles 90.00, 90.00, 90.00 degrees
Closest atoms and distances in Å follow each position.
Element x y z (fractional)
Hf1 0.0000 0.5000 0.2267  2 Zr 2.87, 2 Bi 3.06, 1 Hf 3.12
Hf2 0.0000 0.5000 0.7733  2 Zr 2.87, 2 Bi 3.06, 1 Hf 3.12
Hf3 0.5000 0.0000 0.2267  2 Zr 2.87, 2 Bi 3.06, 1 Hf 3.12
Hf4 0.5000 0.0000 0.7733  2 Zr 2.87, 2 Bi 3.06, 1 Hf 3.12
Zr1 0.0000 0.0000 0.0000  8 Hf 2.87
Bi1 0.5000 0.5000 0.5000  8 Hf 3.06

No. 2
Density functional theory data (GGA-PBE) for crystalline HfZrBi3 at its relaxed geometry.

Output
formation energy from the elements: -181 meV per atom
total magnetization: 0.00 μB per formula unit
space-group type: P-1
volume: 268.4 Å³ per cell

Cell lengths 3.9409, 5.7656, 12.8319 Å; angles 78.89, 89.97, 70.15 degrees
Closest atoms and distances in Å follow each position.
Element x y z (fractional)
Hf1 0.0416 0.4179 0.3783  7 Bi 3.00-3.22
Hf2 0.9584 0.5821 0.6217  7 Bi 3.00-3.22
Zr1 0.3157 0.8671 0.2062  7 Bi 2.97-3.25
Zr2 0.6843 0.1329 0.7938  7 Bi 2.97-3.25
Bi1 0.1362 0.2290 0.9706  3 Zr 3.13-3.25, 3 Bi 3.14-3.18
Bi2 0.3436 0.8127 0.4411  1 Zr 2.97, 5 Hf 3.10-3.22
Bi3 0.3942 0.7112 0.7788  2 Hf 3.00, 3 Zr 3.05-3.10
Bi4 0.6058 0.2888 0.2212  2 Hf 3.00, 3 Zr 3.05-3.10
Bi5 0.6564 0.1873 0.5589  1 Zr 2.97, 5 Hf 3.10-3.22
Bi6 0.8638 0.7710 0.0294  3 Zr 3.13-3.25, 3 Bi 3.14-3.18

No. 3
Density functional theory data (GGA-PBE) for crystalline Hf2Zr2Bi3 at its relaxed geometry.

Output
formation energy from the elements: -77 meV per atom
total magnetization: 0.00 μB per formula unit
space-group type: P2_1/c
volume: 359.5 Å³ per cell

Cell lengths 6.7163, 7.5124, 7.5545 Å; angles 90.00, 109.40, 90.00 degrees
Closest atoms and distances in Å follow each position.
Element x y z (fractional)
Hf1 0.0530 0.1460 0.3702  4 Bi 2.90-3.10, 1 Zr 3.10, 1 Hf 3.18
Hf2 0.0530 0.3540 0.8702  4 Bi 2.90-3.10, 1 Zr 3.10, 1 Hf 3.18
Hf3 0.9470 0.6460 0.1298  4 Bi 2.90-3.10, 1 Zr 3.10, 1 Hf 3.18
Hf4 0.9470 0.8540 0.6298  4 Bi 2.90-3.10, 1 Zr 3.10, 1 Hf 3.18
Zr1 0.3492 0.6822 0.9528  4 Bi 3.00-3.28, 2 Hf 3.10-3.25, 1 Zr 3.34
Zr2 0.3492 0.8178 0.4528  4 Bi 3.00-3.28, 2 Hf 3.10-3.25, 1 Zr 3.34
Zr3 0.6508 0.1822 0.5472  4 Bi 3.00-3.28, 2 Hf 3.10-3.25, 1 Zr 3.34
Zr4 0.6508 0.3178 0.0472  4 Bi 3.00-3.28, 2 Hf 3.10-3.25, 1 Zr 3.34
Bi1 0.0000 0.0000 0.0000  4 Hf 2.90-2.91
Bi2 0.0000 0.5000 0.5000  4 Hf 2.90-2.91
Bi3 0.3628 0.0722 0.7634  4 Zr 3.00-3.28, 3 Hf 3.06-3.25
Bi4 0.3628 0.4278 0.2634  4 Zr 3.00-3.28, 3 Hf 3.06-3.25
Bi5 0.6372 0.5722 0.7366  4 Zr 3.00-3.28, 3 Hf 3.06-3.25
Bi6 0.6372 0.9278 0.2366  4 Zr 3.00-3.28, 3 Hf 3.06-3.25

No. 4
Density functional theory data (GGA-PBE) for crystalline HfZr2Bi3 at its relaxed geometry.

Output
formation energy from the elements: -183 meV per atom
total magnetization: 0.00 μB per formula unit
space-group type: Pmc2_1
volume: 314.3 Å³ per cell

Cell lengths 3.9738, 10.9409, 7.2287 Å; angles 90.00, 90.00, 90.00 degrees
Closest atoms and distances in Å follow each position.
Element x y z (fractional)
Hf1 0.0000 0.1149 0.0000  7 Bi 3.00-3.28, 2 Zr 3.33
Hf2 0.0000 0.8851 0.5000  7 Bi 3.00-3.28, 2 Zr 3.33
Zr1 0.0000 0.1875 0.4478  5 Bi 3.06-3.12, 2 Hf 3.33
Zr2 0.0000 0.8125 0.9478  5 Bi 3.06-3.12, 2 Hf 3.33
Zr3 0.5000 0.4591 0.4715  6 Bi 2.90-3.09
Zr4 0.5000 0.5409 0.9715  6 Bi 2.90-3.09
Bi1 0.0000 0.3720 0.7665  5 Zr 3.06-3.09, 1 Hf 3.28
Bi2 0.0000 0.6280 0.2665  5 Zr 3.06-3.09, 1 Hf 3.28
Bi3 0.5000 0.0474 0.7052  4 Hf 3.01-3.05, 2 Zr 3.12
Bi4 0.5000 0.2897 0.1636  4 Zr 2.90-3.08, 2 Hf 3.00
Bi5 0.5000 0.7103 0.6636  4 Zr 2.90-3.08, 2 Hf 3.00
Bi6 0.5000 0.9526 0.2052  4 Hf 3.01-3.05, 2 Zr 3.12

No. 5
Density functional theory data (GGA-PBE) for crystalline HfZr3Bi at its relaxed geometry.

Output
formation energy from the elements: 891 meV per atom
total magnetization: 1.81 μB per formula unit
space-group type: Pm-3m
volume: 140.8 Å³ per cell

Cell lengths 5.2025, 5.2025, 5.2025 Å; angles 90.00, 90.00, 90.00 degrees
Closest atoms and distances in Å follow each position.
Element x y z (fractional)
Hf1 0.0000 0.0000 0.0000  6 Zr 2.60
Zr1 0.0000 0.0000 0.5000  2 Hf 2.60
Zr2 0.0000 0.5000 0.0000  2 Hf 2.60
Zr3 0.5000 0.0000 0.0000  2 Hf 2.60
Bi1 0.5000 0.5000 0.5000  12 Zr 3.68

No. 6
Density functional theory data (GGA-PBE) for crystalline Hf12ZrBi7 at its relaxed geometry.

Output
formation energy from the elements: 302 meV per atom
total magnetization: 0.00 μB per formula unit
space-group type: R-3
volume: 530.9 Å³ per cell

Cell lengths 8.1275, 8.1275, 8.1275 Å; angles 84.91, 84.91, 84.91 degrees
Closest atoms and distances in Å follow each position.
Element x y z (fractional)
Hf1 0.0479 0.9332 0.6599  4 Bi 2.85-3.15, 3 Hf 2.87-3.13
Hf2 0.0668 0.3401 0.9521  4 Bi 2.85-3.15, 3 Hf 2.87-3.13
Hf3 0.2085 0.7323 0.3776  2 Bi 2.97-3.03, 3 Hf 3.06-3.28, 1 Zr 3.08
Hf4 0.2677 0.6224 0.7915  2 Bi 2.97-3.03, 3 Hf 3.06-3.28, 1 Zr 3.08
Hf5 0.3401 0.9521 0.0668  4 Bi 2.85-3.15, 3 Hf 2.87-3.13
Hf6 0.3776 0.2085 0.7323  2 Bi 2.97-3.03, 3 Hf 3.06-3.28, 1 Zr 3.08
Hf7 0.6224 0.7915 0.2677  2 Bi 2.97-3.03, 3 Hf 3.06-3.28, 1 Zr 3.08
Hf8 0.6599 0.0479 0.9332  4 Bi 2.85-3.15, 3 Hf 2.87-3.13
Hf9 0.7323 0.3776 0.2085  2 Bi 2.97-3.03, 3 Hf 3.06-3.28, 1 Zr 3.08
Hf10 0.7915 0.2677 0.6224  2 Bi 2.97-3.03, 3 Hf 3.06-3.28, 1 Zr 3.08
Hf11 0.9332 0.6599 0.0479  4 Bi 2.85-3.15, 3 Hf 2.87-3.13
Hf12 0.9521 0.0668 0.3401  4 Bi 2.85-3.15, 3 Hf 2.87-3.13
Zr1 0.5000 0.5000 0.5000  6 Hf 3.08
Bi1 0.0000 0.0000 0.0000  6 Hf 2.85
Bi2 0.0697 0.4171 0.3243  5 Hf 2.97-3.15
Bi3 0.3243 0.0697 0.4171  5 Hf 2.97-3.15
Bi4 0.4171 0.3243 0.0697  5 Hf 2.97-3.15
Bi5 0.5829 0.6757 0.9303  5 Hf 2.97-3.15
Bi6 0.6757 0.9303 0.5829  5 Hf 2.97-3.15
Bi7 0.9303 0.5829 0.6757  5 Hf 2.97-3.15

No. 7
Density functional theory data (GGA-PBE) for crystalline HfZr2Bi at its relaxed geometry.

Output
formation energy from the elements: -189 meV per atom
total magnetization: 0.00 μB per formula unit
space-group type: P4/mmm
volume: 92.9 Å³ per cell

Cell lengths 3.7510, 3.7510, 6.6017 Å; angles 90.00, 90.00, 90.00 degrees
Closest atoms and distances in Å follow each position.
Element x y z (fractional)
Hf1 0.0000 0.0000 0.0000  8 Zr 3.14, 2 Bi 3.30
Zr1 0.5000 0.5000 0.2543  4 Bi 3.11, 4 Hf 3.14, 2 Zr 3.24-3.36
Zr2 0.5000 0.5000 0.7457  4 Bi 3.11, 4 Hf 3.14, 2 Zr 3.24-3.36
Bi1 0.0000 0.0000 0.5000  8 Zr 3.11, 2 Hf 3.30

No. 8
Density functional theory data (GGA-PBE) for crystalline Hf7ZrBi3 at its relaxed geometry.

Output
formation energy from the elements: 68 meV per atom
total magnetization: 0.00 μB per formula unit
space-group type: P3m1
volume: 278.8 Å³ per cell

Cell lengths 6.6950, 6.6950, 7.1818 Å; angles 90.00, 90.00, 120.00 degrees
Closest atoms and distances in Å follow each position.
Element x y z (fractional)
Hf1 0.0000 0.0000 0.0000  9 Hf 3.02-3.36, 3 Bi 3.23
Hf2 0.3548 0.1774 0.6928  5 Hf 3.01-3.13, 2 Bi 3.11, 2 Zr 3.35
Hf3 0.5112 0.0224 0.0289  6 Hf 3.01-3.36, 1 Zr 3.04, 2 Bi 3.11
Hf4 0.5112 0.4888 0.0289  6 Hf 3.01-3.36, 1 Zr 3.04, 2 Bi 3.11
Hf5 0.8226 0.1774 0.6928  5 Hf 3.01-3.13, 2 Bi 3.11, 2 Zr 3.35
Hf6 0.8226 0.6452 0.6928  5 Hf 3.01-3.13, 2 Bi 3.11, 2 Zr 3.35
Hf7 0.9776 0.4888 0.0289  6 Hf 3.01-3.36, 1 Zr 3.04, 2 Bi 3.11
Zr1 0.3333 0.6667 0.7181  9 Hf 3.04-3.35, 3 Bi 3.22
Bi1 0.1664 0.3328 0.3600  5 Hf 3.11-3.23, 1 Zr 3.22, 4 Bi 3.34-3.35
Bi2 0.1664 0.8336 0.3600  5 Hf 3.11-3.23, 1 Zr 3.22, 4 Bi 3.34-3.35
Bi3 0.6672 0.8336 0.3600  5 Hf 3.11-3.23, 1 Zr 3.22, 4 Bi 3.34-3.35

No. 9
Density functional theory data (GGA-PBE) for crystalline Hg2Bi at its relaxed geometry.

Output
formation energy from the elements: 111 meV per atom
total magnetization: 0.00 μB per formula unit
space-group type: C2/m
volume: 83.5 Å³ per cell

Cell lengths 4.2143, 4.2143, 5.0870 Å; angles 105.93, 105.93, 87.66 degrees
Closest atoms and distances in Å follow each position.
Element x y z (fractional)
Hg1 0.1598 0.1598 0.3345  4 Hg 3.02-3.34, 4 Bi 3.14-3.33
Hg2 0.8402 0.8402 0.6655  4 Hg 3.02-3.34, 4 Bi 3.14-3.33
Bi1 0.5000 0.5000 0.0000  8 Hg 3.14-3.33

No. 10
Density functional theory data (GGA-PBE) for crystalline HgBi at its relaxed geometry.

Output
formation energy from the elements: 77 meV per atom
total magnetization: 0.00 μB per formula unit
space-group type: P6_3/mmc
volume: 401.8 Å³ per cell

Cell lengths 8.8858, 8.8858, 5.8757 Å; angles 90.00, 90.00, 120.00 degrees
Closest atoms and distances in Å follow each position.
Element x y z (fractional)
Hg1 0.1218 0.2437 0.2500  6 Hg 3.25-3.49, 2 Bi 3.26
Hg2 0.1218 0.8782 0.2500  6 Hg 3.25-3.49, 2 Bi 3.26
Hg3 0.2437 0.1218 0.7500  6 Hg 3.25-3.49, 2 Bi 3.26
Hg4 0.7563 0.8782 0.2500  6 Hg 3.25-3.49, 2 Bi 3.26
Hg5 0.8782 0.1218 0.7500  6 Hg 3.25-3.49, 2 Bi 3.26
Hg6 0.8782 0.7563 0.7500  6 Hg 3.25-3.49, 2 Bi 3.26
Bi1 0.0913 0.5456 0.7500  4 Bi 3.23-3.26, 2 Hg 3.26
Bi2 0.4544 0.5456 0.7500  4 Bi 3.23-3.26, 2 Hg 3.26
Bi3 0.4544 0.9087 0.7500  4 Bi 3.23-3.26, 2 Hg 3.26
Bi4 0.5456 0.0913 0.2500  4 Bi 3.23-3.26, 2 Hg 3.26
Bi5 0.5456 0.4544 0.2500  4 Bi 3.23-3.26, 2 Hg 3.26
Bi6 0.9087 0.4544 0.2500  4 Bi 3.23-3.26, 2 Hg 3.26